[1]
DFT (PBE) results for a geometry-optimized Li2TaBeC structure. Values from VASP.

Values from the calculation:
total magnetization = 0.00 μB per atom
energy = -4.4486 eV/atom
Fermi-level density of states = 2.37 states/eV/f.u.
symmetry = P4/mmm
E_form = 1.2775 eV per atom

Geometry as Quantum ESPRESSO input:
```
&SYSTEM
  ibrav = 0, nat = 5, ntyp = 4
/
ATOMIC_SPECIES
Li 6.94 Li.upf
Ta 180.95 Ta.upf
Be 9.01 Be.upf
C 12.01 C.upf
CELL_PARAMETERS angstrom
3.6460 0.0000 0.0000
0.0000 3.6460 0.0000
0.0000 0.0000 4.5614
ATOMIC_POSITIONS angstrom
Li 0.0000 1.8230 0.0000
Li 1.8230 0.0000 0.0000
Ta 0.0000 0.0000 2.2807
Be 0.0000 0.0000 0.0000
C 1.8230 1.8230 2.2807
```


[2]
DFT (PBE) results for a geometry-optimized TbNb2Fe9 structure. Values from VASP.

Values from the calculation:
total magnetization = 1.32 μB per atom
energy = -8.5166 eV/atom
Fermi-level density of states = 10.71 states/eV/f.u.
symmetry = R-3m
E_form = -0.1055 eV per atom

Geometry as Quantum ESPRESSO input:
```
&SYSTEM
  ibrav = 0, nat = 12, ntyp = 3
/
ATOMIC_SPECIES
Tb 158.93 Tb.upf
Nb 92.91 Nb.upf
Fe 55.84 Fe.upf
CELL_PARAMETERS angstrom
2.4588 1.4196 7.8628
-2.4588 1.4196 7.8628
0.0000 -2.8392 7.8628
ATOMIC_POSITIONS angstrom
Tb 0.0000 0.0000 0.0000
Nb 0.0000 0.0000 3.3917
Nb 0.0000 0.0000 20.1968
Fe -1.2415 -0.7168 9.9001
Fe 0.0000 0.0000 7.8622
Fe 0.0000 -1.4336 13.6885
Fe -1.2415 0.7168 13.6885
Fe 0.0000 0.0000 11.7943
Fe 1.2415 -0.7168 9.9000
Fe 0.0000 1.4336 9.9000
Fe 0.0000 0.0000 15.7264
Fe 1.2415 0.7168 13.6885
```


[3]
DFT (PBE) results for a geometry-optimized Pm2Si3B structure. Values from VASP.

Values from the calculation:
total magnetization = 0.00 μB per atom
energy = -5.9637 eV/atom
formation energy (no corrections) = -0.556 eV/atom
Fermi-level density of states = 3.06 states/eV/f.u.
symmetry = Fmmm

Geometry as Quantum ESPRESSO input:
```
&SYSTEM
  ibrav = 0, nat = 12, ntyp = 3
/
ATOMIC_SPECIES
Pm 145.00 Pm.upf
Si 28.09 Si.upf
B 10.81 B.upf
CELL_PARAMETERS angstrom
0.0000 4.3083 6.5720
3.8576 0.0000 6.5720
3.8576 4.3083 0.0000
ATOMIC_POSITIONS angstrom
Pm 3.8576 2.1083 6.5720
Pm 1.9288 2.1542 3.2860
Pm 5.7864 6.4625 9.8580
Pm 3.8576 6.5084 6.5720
Si 3.8576 4.3083 2.3231
Si 5.6329 4.3083 5.3933
Si 5.6329 4.3083 7.7507
Si 2.0823 4.3083 5.3933
Si 2.0823 4.3083 7.7507
Si 3.8576 4.3083 10.8208
B 3.8576 4.3083 4.3792
B 3.8576 4.3083 8.7648
```


[4]
DFT (PBE) results for a geometry-optimized CaDyZn2 structure. Values from VASP.

Values from the calculation:
total magnetization = 0.00 μB per atom
energy = -2.5804 eV/atom
Fermi-level density of states = 3.40 states/eV/f.u.
symmetry = Fm-3m
E_form = -0.2925 eV per atom

Geometry as Quantum ESPRESSO input:
```
&SYSTEM
  ibrav = 0, nat = 4, ntyp = 3
/
ATOMIC_SPECIES
Ca 40.08 Ca.upf
Dy 162.50 Dy.upf
Zn 65.41 Zn.upf
CELL_PARAMETERS angstrom
0.0000 3.6080 3.6080
3.6080 0.0000 3.6080
3.6080 3.6080 0.0000
ATOMIC_POSITIONS angstrom
Ca 0.0000 0.0000 0.0000
Dy 3.6080 3.6080 3.6080
Zn 1.8040 1.8040 1.8040
Zn 5.4120 5.4120 5.4120
```


[5]
DFT (PBE) results for a geometry-optimized La4Ni2Ru structure. Values from VASP.

Values from the calculation:
total magnetization = 0.00 μB per atom
energy = -6.0758 eV/atom
Fermi-level density of states = 3.24 states/eV/f.u.
symmetry = Cc
E_form = -0.2832 eV per atom

Geometry as Quantum ESPRESSO input:
```
&SYSTEM
  ibrav = 0, nat = 14, ntyp = 3
/
ATOMIC_SPECIES
La 138.91 La.upf
Ni 58.69 Ni.upf
Ru 101.07 Ru.upf
CELL_PARAMETERS angstrom
4.5046 -6.2841 0.0000
4.5046 6.2841 0.0000
-4.5006 0.0000 6.2783
ATOMIC_POSITIONS angstrom
La 2.2543 6.2723 3.1392
La 2.2478 3.1514 1.3250
La 1.1877 0.6590 3.8174
La 5.6889 2.4825 0.6550
La 3.4380 -0.6590 0.6783
La -0.0024 -3.1514 4.4642
La 3.4386 -2.4825 3.7942
La 4.5046 -6.2723 0.0000
Ni 1.7210 3.8651 4.5191
Ni 3.9765 0.7184 3.0877
Ni 1.7263 -0.7184 6.2269
Ni 3.9713 -3.8651 1.3800
Ru -1.6599 1.5715 5.3752
Ru 0.5904 -1.5715 2.2360
```


[6]
DFT (PBE) results for a geometry-optimized PmPbO2 structure. Values from VASP.

Values from the calculation:
total magnetization = 0.00 μB per atom
energy = -6.8833 eV/atom
formation energy (no corrections) = -2.289 eV/atom
Fermi-level density of states = 0.55 states/eV/f.u.
symmetry = R-3m

Geometry as Quantum ESPRESSO input:
```
&SYSTEM
  ibrav = 0, nat = 4, ntyp = 3
/
ATOMIC_SPECIES
Pm 145.00 Pm.upf
Pb 207.20 Pb.upf
O 16.00 O.upf
CELL_PARAMETERS angstrom
1.8107 1.0454 7.1462
-1.8107 1.0454 7.1462
0.0000 -2.0908 7.1462
ATOMIC_POSITIONS angstrom
Pm 0.0000 0.0000 0.0000
Pb 0.0000 0.0000 10.7193
O 0.0000 0.0000 8.2762
O 0.0000 0.0000 13.1625
```


What did the sixth record say?
DFT (PBE) results for a geometry-optimized PmPbO2 structure. Values from VASP.

Values from the calculation:
total magnetization = 0.00 μB per atom
energy = -6.8833 eV/atom
formation energy (no corrections) = -2.289 eV/atom
Fermi-level density of states = 0.55 states/eV/f.u.
symmetry = R-3m

Geometry as Quantum ESPRESSO input:
```
&SYSTEM
  ibrav = 0, nat = 4, ntyp = 3
/
ATOMIC_SPECIES
Pm 145.00 Pm.upf
Pb 207.20 Pb.upf
O 16.00 O.upf
CELL_PARAMETERS angstrom
1.8107 1.0454 7.1462
-1.8107 1.0454 7.1462
0.0000 -2.0908 7.1462
ATOMIC_POSITIONS angstrom
Pm 0.0000 0.0000 0.0000
Pb 0.0000 0.0000 10.7193
O 0.0000 0.0000 8.2762
O 0.0000 0.0000 13.1625
```